(1)
Material: Rb2Na2I
Method: DFT, GGA-PBE
State: optimized geometry

Structure (POSCAR):
```
Rb2Na2I
1.0
-7.722 -5.902 -0.978
5.894 -7.233 -2.890
0.709 -1.993 6.431
Na Rb I
4 4 2
Cartesian
-1.825 -4.112 2.490
0.706 -11.016 0.073
3.076 -6.235 1.293
-4.195 -8.892 1.270
-2.340 -9.756 -2.765
0.512 -3.378 -1.103
-4.188 -5.300 -1.181
2.360 -7.835 -2.688
-0.914 -6.567 -1.934
0.000 0.000 0.000
```

Output
Formation energy from raw total energies, meV per atom: -368.9
Total energy, eV per atom: -1.594
Polymorph energy (0 for the lowest one), eV/atom: 0.0000

(2)
Material: RbNaI3
Method: DFT, GGA-PBE
State: optimized geometry

Structure (POSCAR):
```
RbNaI3
1.0
-3.577 2.581 4.258
-3.516 -5.022 0.091
3.526 -2.389 4.410
I Rb Na
3 1 1
Cartesian
1.763 -1.195 2.205
-1.788 1.291 2.129
-1.758 -2.511 0.045
-1.784 -2.415 4.380
0.000 0.000 0.000
```

Output
Formation energy from raw total energies, meV per atom: -899.1
Total energy, eV per atom: -2.287
Polymorph energy (0 for the lowest one), eV/atom: 0.0000

(3)
Material: Rb2NaI
Method: DFT, GGA-PBE
State: optimized geometry

Structure (POSCAR):
```
Rb2NaI
1.0
-9.205 -4.101 1.714
2.163 -0.689 9.967
-5.535 2.447 6.612
Rb Na I
4 2 2
Cartesian
-6.885 0.068 8.912
-0.788 -0.156 8.023
-7.261 -2.213 4.044
-10.221 -2.386 15.607
-3.447 -0.318 11.210
-3.521 -2.395 5.840
-9.131 -2.025 7.083
0.000 0.000 0.000
```

Output
Formation energy from raw total energies, meV per atom: -589.4
Total energy, eV per atom: -1.791
Polymorph energy (0 for the lowest one), eV/atom: 0.0821

(4)
Material: RbNaI3
Method: DFT, GGA-PBE
State: optimized geometry

Structure (POSCAR):
```
RbNaI3
1.0
-3.452 1.896 5.641
-0.100 -6.539 2.136
5.951 0.990 3.308
Na I Rb
1 3 1
Cartesian
1.199 -1.827 5.543
-0.050 -3.270 1.068
2.975 0.495 1.654
-1.726 0.948 2.821
0.000 0.000 0.000
```

Output
Formation energy from raw total energies, meV per atom: -581.2
Total energy, eV per atom: -1.969
Polymorph energy (0 for the lowest one), eV/atom: 0.3179

(5)
Material: Rb3NaI6
Method: DFT, GGA-PBE
State: optimized geometry

Structure (POSCAR):
```
Rb3NaI6
1.0
9.204 0.000 0.000
0.000 9.204 0.000
4.602 4.602 6.508
Rb I Na
3 6 1
Cartesian
0.000 0.000 0.000
4.602 9.204 3.254
9.204 4.602 3.254
9.204 9.204 3.450
2.440 6.764 0.000
2.440 2.440 0.000
6.764 6.764 0.000
6.764 2.440 0.000
4.602 4.602 3.057
4.602 4.602 0.000
```

Output
Formation energy from raw total energies, meV per atom: -877.2
Total energy, eV per atom: -2.229

(6)
Material: RbNaI2
Method: DFT, GGA-PBE
State: optimized geometry

Structure (POSCAR):
```
RbNaI2
1.0
0.000 4.297 4.297
4.297 0.000 4.297
4.297 4.297 0.000
I Na Rb
2 1 1
Cartesian
2.148 2.148 2.148
6.445 6.445 6.445
0.000 0.000 0.000
4.297 4.297 4.297
```

Output
Formation energy from raw total energies, meV per atom: -1243.8
Total energy, eV per atom: -2.590
Polymorph energy (0 for the lowest one), eV/atom: 0.1146

(7)
Material: Rb2NaI
Method: DFT, GGA-PBE
State: optimized geometry

Structure (POSCAR):
```
Rb2NaI
1.0
0.000 4.748 4.748
4.748 0.000 4.748
4.748 4.748 0.000
Rb Na I
2 1 1
Cartesian
2.374 2.374 2.374
7.122 7.122 7.122
0.000 0.000 0.000
4.748 4.748 4.748
```

Output
Formation energy from raw total energies, meV per atom: -567.7
Total energy, eV per atom: -1.769
Polymorph energy (0 for the lowest one), eV/atom: 0.1038

(8)
Material: Rb2NaI
Method: DFT, GGA-PBE
State: optimized geometry

Structure (POSCAR):
```
Rb2NaI
1.0
4.813 0.000 0.000
2.407 4.169 0.000
2.407 1.390 12.844
Rb I Na
2 1 1
Cartesian
7.220 4.169 4.019
2.407 1.390 8.825
4.813 2.779 6.422
0.000 0.000 0.000
```

Output
Formation energy from raw total energies, meV per atom: -593.9
Total energy, eV per atom: -1.795
Polymorph energy (0 for the lowest one), eV/atom: 0.0777